# Os4Pt PBE optimized geometry
# - distance to the lowest polymorph of the same formula (meV per atom) = 2449
# - energy of formation (eV per atom) = 3.113
data_Os4Pt
_chemical_formula_sum 'Os4 Pt1'
_cell_length_a 4.651
_cell_length_b 4.651
_cell_length_c 4.651
_cell_angle_alpha 90.00
_cell_angle_beta 90.00
_cell_angle_gamma 90.00
_symmetry_space_group_name_H-M 'P 1'
_symmetry_Int_Tables_number 1
_symmetry_space_group_name_Hall 'P 1'
loop_
_atom_site_label
_atom_site_type_symbol
_atom_site_fract_x
_atom_site_fract_y
_atom_site_fract_z
Os1 Os 0.000 0.000 0.000
Os2 Os 0.000 0.500 0.500
Os3 Os 0.500 0.000 0.500
Os4 Os 0.500 0.500 0.000
Pt1 Pt 0.500 0.500 0.500